No. 1
Material: Mn2SiAs
Method: DFT, SCAN
State: PBEsol geometry

Cell and atoms, written as CIF:
```
data_Mn2SiAs
_space_group_name_H-M_alt 'P 4/m m m'
_space_group_IT_number 123
_space_group_name_Hall '-P 4 2'
_cell_length_a 2.8347
_cell_length_b 2.8347
_cell_length_c 5.6761
_cell_angle_alpha 90.00
_cell_angle_beta 90.00
_cell_angle_gamma 90.00
loop_
_atom_site_label
_atom_site_fract_x
_atom_site_fract_y
_atom_site_fract_z
Mn1 0.0000 0.0000 0.2459
Si1 0.5000 0.5000 0.0000
As1 0.5000 0.5000 0.5000
```

Properties
formation energy (no corrections)	-0.074	eV per atom
total magnetization	0.000	μB/f.u.
V	11.4	Å³ per atom
crystal system	tetragonal

***

No. 2
Material: In2AuBr
Method: DFT, SCAN
State: PBEsol geometry

Cell and atoms, written as CIF:
```
data_In2AuBr
_space_group_name_H-M_alt 'I m m m'
_space_group_IT_number 71
_space_group_name_Hall '-I 2 2'
_cell_length_a 4.6586
_cell_length_b 5.5838
_cell_length_c 7.6705
_cell_angle_alpha 90.00
_cell_angle_beta 90.00
_cell_angle_gamma 90.00
loop_
_atom_site_label
_atom_site_fract_x
_atom_site_fract_y
_atom_site_fract_z
In1 0.0000 0.0000 0.2234
Au1 0.0000 0.5000 0.5000
Br1 0.0000 0.5000 0.0000
```

Properties
formation energy (no corrections)	-0.192	eV per atom
energy relative to the lowest polymorph listed for this composition	0.14	kcal/mol of atoms
total magnetization	0.000	μB/f.u.
V	24.9	Å³ per atom
crystal system	orthorhombic

***

No. 3
Material: CoNi2Mo
Method: DFT, SCAN
State: PBEsol geometry

Cell and atoms, written as CIF:
```
data_CoNi2Mo
_space_group_name_H-M_alt 'R -3 m'
_space_group_IT_number 166
_space_group_name_Hall '-R 3 2"'
_cell_length_a 2.5679
_cell_length_b 2.5679
_cell_length_c 24.8100
_cell_angle_alpha 90.00
_cell_angle_beta 90.00
_cell_angle_gamma 120.00
loop_
_atom_site_label
_atom_site_fract_x
_atom_site_fract_y
_atom_site_fract_z
Co1 0.0000 0.0000 0.0000
Ni1 0.0000 0.0000 0.2544
Mo1 0.0000 0.0000 0.5000
```

Properties
formation enthalpy at 0 K	229	meV/atom
energy relative to the lowest polymorph listed for this composition	4.20	kcal/mol of atoms
total magnetization	2.828	μB/f.u.
V	11.8	Å³ per atom
crystal system	trigonal

***

No. 4
Material: LaSbAs2Br
Method: DFT, SCAN
State: PBEsol geometry

Cell and atoms, written as CIF:
```
data_LaSbAs2Br
_space_group_name_H-M_alt 'P 4/m m m'
_space_group_IT_number 123
_space_group_name_Hall '-P 4 2'
_cell_length_a 5.6655
_cell_length_b 5.6655
_cell_length_c 5.4395
_cell_angle_alpha 90.00
_cell_angle_beta 90.00
_cell_angle_gamma 90.00
loop_
_atom_site_label
_atom_site_fract_x
_atom_site_fract_y
_atom_site_fract_z
La1 0.0000 0.0000 0.0000
Sb1 0.5000 0.5000 0.5000
As1 0.0000 0.5000 0.0000
Br1 0.0000 0.0000 0.5000
```

Properties
formation energy (no corrections)	0.209	eV per atom
energy relative to the lowest polymorph listed for this composition	10.25	kcal/mol of atoms
total magnetization	0.002	μB/f.u.
V	34.9	Å³ per atom
crystal system	tetragonal

***

Q: Among the records above, which one has the highest V?
A: LaSbAs2Br